A plane-wave DFT calculation with GGA-PBEsol was carried out for a relaxed ScNbAs2 crystal.

Geometry as CIF:
```
data_ScNbAs2
_chemical_formula_sum 'Sc4 Nb4 As8'
_cell_length_a 5.917
_cell_length_b 5.917
_cell_length_c 11.632
_cell_angle_alpha 90.00
_cell_angle_beta 90.00
_cell_angle_gamma 90.00
_space_group_name_H-M_alt 'P 1'
_space_group_IT_number 1
loop_
_space_group_symop_operation_xyz
'x,y,z'
loop_
_atom_site_label
_atom_site_type_symbol
_atom_site_fract_x
_atom_site_fract_y
_atom_site_fract_z
Sc1 Sc 0.000 0.000 0.000
Sc2 Sc 0.000 0.500 0.250
Sc3 Sc 0.500 0.000 0.750
Sc4 Sc 0.500 0.500 0.500
Nb1 Nb 0.000 0.000 0.500
Nb2 Nb 0.000 0.500 0.750
Nb3 Nb 0.500 0.000 0.250
Nb4 Nb 0.500 0.500 0.000
As1 As 0.233 0.250 0.625
As2 As 0.250 0.733 0.875
As3 As 0.250 0.767 0.375
As4 As 0.267 0.250 0.125
As5 As 0.733 0.750 0.125
As6 As 0.750 0.233 0.375
As7 As 0.750 0.267 0.875
As8 As 0.767 0.750 0.625
```

Symmetry: I-42d
Crystal system: tetragonal
Formation energy from the elements in kcal/mol of atoms: -4.6
Total DFT energy (no corrections) in eV/atom: -7.110
D(E_F) in states/eV per atom: 1.0168
Energy above the lowest structure with this stoichiometry in kJ per mole of atoms: 45.4

---

A plane-wave DFT calculation with GGA-PBEsol was carried out for a relaxed KZr2Pb crystal.

Geometry as CIF:
```
data_KZr2Pb
_chemical_formula_sum 'K1 Zr2 Pb1'
_cell_length_a 3.231
_cell_length_b 5.555
_cell_length_c 5.635
_cell_angle_alpha 90.00
_cell_angle_beta 90.00
_cell_angle_gamma 90.00
_space_group_name_H-M_alt 'P 1'
_space_group_IT_number 1
loop_
_space_group_symop_operation_xyz
'x,y,z'
loop_
_atom_site_label
_atom_site_type_symbol
_atom_site_fract_x
_atom_site_fract_y
_atom_site_fract_z
K1 K 0.000 0.000 0.000
Zr1 Zr 0.000 0.500 0.500
Zr2 Zr 0.500 0.000 0.500
Pb1 Pb 0.500 0.500 0.000
```

Symmetry: Pmmm
Crystal system: orthorhombic
Formation energy from the elements in kcal/mol of atoms: 12.4
Total DFT energy (no corrections) in eV/atom: -5.289
D(E_F) in states/eV per atom: 1.1568

---

A plane-wave DFT calculation with GGA-PBEsol was carried out for a relaxed Ag2RuBr crystal.

Geometry as CIF:
```
data_Ag2RuBr
_chemical_formula_sum 'Ag4 Ru2 Br2'
_cell_length_a 2.894
_cell_length_b 5.129
_cell_length_c 9.406
_cell_angle_alpha 90.00
_cell_angle_beta 90.00
_cell_angle_gamma 90.00
_space_group_name_H-M_alt 'P 1'
_space_group_IT_number 1
loop_
_space_group_symop_operation_xyz
'x,y,z'
loop_
_atom_site_label
_atom_site_type_symbol
_atom_site_fract_x
_atom_site_fract_y
_atom_site_fract_z
Ag1 Ag 0.000 0.000 0.000
Ag2 Ag 0.000 0.500 0.250
Ag3 Ag 0.500 0.000 0.250
Ag4 Ag 0.500 0.500 0.000
Ru1 Ru 0.000 0.500 0.755
Ru2 Ru 0.500 0.000 0.755
Br1 Br 0.000 0.000 0.543
Br2 Br 0.500 0.500 0.543
```

Symmetry: Cmm2
Crystal system: orthorhombic
Uncorrected formation energy in eV per atom: 0.558
Total DFT energy (no corrections) in eV/atom: -4.108
D(E_F) in states/eV per atom: 0.7390
Energy above the lowest structure with this stoichiometry in kJ per mole of atoms: 3.0

---

A plane-wave DFT calculation with GGA-PBEsol was carried out for a relaxed AsIr2Pb crystal.

Geometry as CIF:
```
data_AsIr2Pb
_chemical_formula_sum 'As1 Ir2 Pb1'
_cell_length_a 3.008
_cell_length_b 3.909
_cell_length_c 5.993
_cell_angle_alpha 90.00
_cell_angle_beta 90.00
_cell_angle_gamma 90.00
_space_group_name_H-M_alt 'P 1'
_space_group_IT_number 1
loop_
_space_group_symop_operation_xyz
'x,y,z'
loop_
_atom_site_label
_atom_site_type_symbol
_atom_site_fract_x
_atom_site_fract_y
_atom_site_fract_z
As1 As 0.000 0.000 0.000
Ir1 Ir 0.000 0.000 0.401
Ir2 Ir 0.500 0.500 0.126
Pb1 Pb 0.500 0.500 0.630
```

Symmetry: Pmm2
Crystal system: orthorhombic
Formation energy from the elements in kcal/mol of atoms: 5.5
Total DFT energy (no corrections) in eV/atom: -6.951
D(E_F) in states/eV per atom: 0.6298
Energy above the lowest structure with this stoichiometry in kJ per mole of atoms: 0.0

---

A plane-wave DFT calculation with GGA-PBEsol was carried out for a relaxed Sb3RuPb crystal.

Geometry as CIF:
```
data_Sb3RuPb
_chemical_formula_sum 'Sb3 Ru1 Pb1'
_cell_length_a 5.555
_cell_length_b 5.555
_cell_length_c 5.555
_cell_angle_alpha 90.00
_cell_angle_beta 90.00
_cell_angle_gamma 90.00
_space_group_name_H-M_alt 'P 1'
_space_group_IT_number 1
loop_
_space_group_symop_operation_xyz
'x,y,z'
loop_
_atom_site_label
_atom_site_type_symbol
_atom_site_fract_x
_atom_site_fract_y
_atom_site_fract_z
Sb1 Sb 0.000 0.000 0.500
Sb2 Sb 0.000 0.500 0.000
Sb3 Sb 0.500 0.000 0.000
Ru1 Ru 0.500 0.500 0.500
Pb1 Pb 0.000 0.000 0.000
```

Symmetry: Pm-3m
Crystal system: cubic
Uncorrected formation energy in eV per atom: 1.924
Total DFT energy (no corrections) in eV/atom: -3.645
D(E_F) in states/eV per atom: 1.5508

---

A plane-wave DFT calculation with GGA-PBEsol was carried out for a relaxed MnCdPt crystal.

Geometry as CIF:
```
data_MnCdPt
_chemical_formula_sum 'Mn1 Cd1 Pt1'
_cell_length_a 2.888
_cell_length_b 2.888
_cell_length_c 6.621
_cell_angle_alpha 90.00
_cell_angle_beta 90.00
_cell_angle_gamma 120.00
_space_group_name_H-M_alt 'P 1'
_space_group_IT_number 1
loop_
_space_group_symop_operation_xyz
'x,y,z'
loop_
_atom_site_label
_atom_site_type_symbol
_atom_site_fract_x
_atom_site_fract_y
_atom_site_fract_z
Mn1 Mn 0.000 0.000 0.000
Cd1 Cd 0.667 0.333 0.344
Pt1 Pt 0.333 0.667 0.699
```

Symmetry: P3m1
Crystal system: trigonal
Formation energy from the elements in kcal/mol of atoms: 1.7
Total DFT energy (no corrections) in eV/atom: -5.902
D(E_F) in states/eV per atom: 0.6804

---

A plane-wave DFT calculation with GGA-PBEsol was carried out for a relaxed BaFeI2N crystal.

Geometry as CIF:
```
data_BaFeI2N
_chemical_formula_sum 'Ba1 Fe1 I2 N1'
_cell_length_a 5.649
_cell_length_b 5.649
_cell_length_c 3.634
_cell_angle_alpha 90.00
_cell_angle_beta 90.00
_cell_angle_gamma 90.00
_space_group_name_H-M_alt 'P 1'
_space_group_IT_number 1
loop_
_space_group_symop_operation_xyz
'x,y,z'
loop_
_atom_site_label
_atom_site_type_symbol
_atom_site_fract_x
_atom_site_fract_y
_atom_site_fract_z
Ba1 Ba 0.000 0.000 0.000
Fe1 Fe 0.500 0.500 0.500
I1 I 0.000 0.500 0.500
I2 I 0.500 0.000 0.500
N1 N 0.500 0.500 0.000
```

Symmetry: P4/mmm
Crystal system: tetragonal
Uncorrected formation energy in eV per atom: -0.383
Total DFT energy (no corrections) in eV/atom: -5.018
D(E_F) in states/eV per atom: 0.4801

---

A plane-wave DFT calculation with GGA-PBEsol was carried out for a relaxed NbBi3C crystal.

Geometry as CIF:
```
data_NbBi3C
_chemical_formula_sum 'Nb1 Bi3 C1'
_cell_length_a 5.384
_cell_length_b 5.384
_cell_length_c 5.384
_cell_angle_alpha 90.00
_cell_angle_beta 90.00
_cell_angle_gamma 90.00
_space_group_name_H-M_alt 'P 1'
_space_group_IT_number 1
loop_
_space_group_symop_operation_xyz
'x,y,z'
loop_
_atom_site_label
_atom_site_type_symbol
_atom_site_fract_x
_atom_site_fract_y
_atom_site_fract_z
Nb1 Nb 0.000 0.000 0.000
Bi1 Bi 0.000 0.000 0.500
Bi2 Bi 0.000 0.500 0.000
Bi3 Bi 0.500 0.000 0.000
C1 C 0.500 0.500 0.500
```

Symmetry: Pm-3m
Crystal system: cubic
Formation energy from the elements in kcal/mol of atoms: 40.0
Total DFT energy (no corrections) in eV/atom: -4.931
D(E_F) in states/eV per atom: 0.5417

---

A plane-wave DFT calculation with GGA-PBEsol was carried out for a relaxed Ga2Ag2Pb crystal.

Geometry as CIF:
```
data_Ga2Ag2Pb
_chemical_formula_sum 'Ga4 Ag4 Pb2'
_cell_length_a 3.940
_cell_length_b 3.940
_cell_length_c 12.752
_cell_angle_alpha 90.00
_cell_angle_beta 90.00
_cell_angle_gamma 90.00
_space_group_name_H-M_alt 'P 1'
_space_group_IT_number 1
loop_
_space_group_symop_operation_xyz
'x,y,z'
loop_
_atom_site_label
_atom_site_type_symbol
_atom_site_fract_x
_atom_site_fract_y
_atom_site_fract_z
Ga1 Ga 0.000 0.500 0.250
Ga2 Ga 0.000 0.500 0.750
Ga3 Ga 0.500 0.000 0.250
Ga4 Ga 0.500 0.000 0.750
Ag1 Ag 0.000 0.000 0.108
Ag2 Ag 0.000 0.000 0.892
Ag3 Ag 0.500 0.500 0.392
Ag4 Ag 0.500 0.500 0.608
Pb1 Pb 0.000 0.000 0.500
Pb2 Pb 0.500 0.500 0.000
```

Symmetry: I4/mmm
Crystal system: tetragonal
Formation energy from the elements in kcal/mol of atoms: 1.0
Total DFT energy (no corrections) in eV/atom: -3.416
D(E_F) in states/eV per atom: 0.4816
Energy above the lowest structure with this stoichiometry in kJ per mole of atoms: 0.0

---

A plane-wave DFT calculation with GGA-PBEsol was carried out for a relaxed NdClO crystal.

Geometry as CIF:
```
data_NdClO
_chemical_formula_sum 'Nd2 Cl2 O2'
_cell_length_a 4.010
_cell_length_b 4.010
_cell_length_c 6.709
_cell_angle_alpha 90.00
_cell_angle_beta 90.00
_cell_angle_gamma 90.00
_space_group_name_H-M_alt 'P 1'
_space_group_IT_number 1
loop_
_space_group_symop_operation_xyz
'x,y,z'
loop_
_atom_site_label
_atom_site_type_symbol
_atom_site_fract_x
_atom_site_fract_y
_atom_site_fract_z
Nd1 Nd 0.250 0.250 0.176
Nd2 Nd 0.750 0.750 0.824
Cl1 Cl 0.250 0.250 0.627
Cl2 Cl 0.750 0.750 0.373
O1 O 0.250 0.750 0.000
O2 O 0.750 0.250 0.000
```

Symmetry: P4/nmm
Crystal system: tetragonal
Uncorrected formation energy in eV per atom: -3.085
Total DFT energy (no corrections) in eV/atom: -7.226
D(E_F) in states/eV per atom: 0.0000

---

A plane-wave DFT calculation with GGA-PBEsol was carried out for a relaxed ReMoSe2 crystal.

Geometry as CIF:
```
data_ReMoSe2
_chemical_formula_sum 'Re3 Mo3 Se6'
_cell_length_a 3.013
_cell_length_b 3.013
_cell_length_c 23.464
_cell_angle_alpha 90.00
_cell_angle_beta 90.00
_cell_angle_gamma 120.00
_space_group_name_H-M_alt 'P 1'
_space_group_IT_number 1
loop_
_space_group_symop_operation_xyz
'x,y,z'
loop_
_atom_site_label
_atom_site_type_symbol
_atom_site_fract_x
_atom_site_fract_y
_atom_site_fract_z
Re1 Re 0.000 0.000 0.000
Re2 Re 0.333 0.667 0.667
Re3 Re 0.667 0.333 0.333
Mo1 Mo 0.000 0.000 0.500
Mo2 Mo 0.333 0.667 0.167
Mo3 Mo 0.667 0.333 0.833
Se1 Se 0.000 0.000 0.250
Se2 Se 0.000 0.000 0.750
Se3 Se 0.333 0.667 0.417
Se4 Se 0.333 0.667 0.917
Se5 Se 0.667 0.333 0.083
Se6 Se 0.667 0.333 0.583
```

Symmetry: R-3m
Crystal system: trigonal
Uncorrected formation energy in eV per atom: 0.273
Total DFT energy (no corrections) in eV/atom: -7.927
D(E_F) in states/eV per atom: 0.9061
Energy above the lowest structure with this stoichiometry in kJ per mole of atoms: 0.9

---

A plane-wave DFT calculation with GGA-PBEsol was carried out for a relaxed TiReTe3 crystal.

Geometry as CIF:
```
data_TiReTe3
_chemical_formula_sum 'Ti1 Re1 Te3'
_cell_length_a 5.209
_cell_length_b 5.209
_cell_length_c 5.209
_cell_angle_alpha 90.00
_cell_angle_beta 90.00
_cell_angle_gamma 90.00
_space_group_name_H-M_alt 'P 1'
_space_group_IT_number 1
loop_
_space_group_symop_operation_xyz
'x,y,z'
loop_
_atom_site_label
_atom_site_type_symbol
_atom_site_fract_x
_atom_site_fract_y
_atom_site_fract_z
Ti1 Ti 0.000 0.000 0.000
Re1 Re 0.500 0.500 0.500
Te1 Te 0.000 0.000 0.500
Te2 Te 0.000 0.500 0.000
Te3 Te 0.500 0.000 0.000
```

Symmetry: Pm-3m
Crystal system: cubic
Uncorrected formation energy in eV per atom: 1.153
Total DFT energy (no corrections) in eV/atom: -5.293
D(E_F) in states/eV per atom: 0.7861